(1)
# Ac4SnPt2

A relaxed structure of Ac4SnPt2 (PBE-GGA, Alexandria).

Output
distance to the lowest polymorph of the same formula	0	meV per atom
energy of formation from the pure elements	-6.27	eV/f.u.

Cell and atoms, written as POSCAR:
```
Ac4SnPt2
1.0
2.283 -7.245 0.000
2.283 7.245 0.000
0.000 0.000 14.946
Ac Sn Pt
8 2 4
direct
0.000 0.000 0.000
0.000 0.000 0.500
0.268 0.732 0.615
0.268 0.732 0.885
0.445 0.555 0.250
0.555 0.445 0.750
0.732 0.268 0.115
0.732 0.268 0.385
0.114 0.886 0.250
0.886 0.114 0.750
0.368 0.632 0.060
0.368 0.632 0.440
0.632 0.368 0.560
0.632 0.368 0.940
```

(2)
# NbAl2CrSb

A relaxed structure of NbAl2CrSb (PBE-GGA, Alexandria).

Output
formation energy (no corrections)	1923	meV/atom

Cell and atoms, written as POSCAR:
```
NbAl2CrSb
1.0
5.008 0.000 0.000
0.000 5.008 0.000
0.000 0.000 5.126
Nb Al Cr Sb
1 2 1 1
direct
0.000 0.000 0.000
0.000 0.500 0.500
0.500 0.000 0.500
0.500 0.500 0.000
0.000 0.000 0.500
```

no.,magnetic moment (μB/f.u.)
1,0.00
2,0.44